VASP calculation (GGA-PBE) on crystalline Sm2Zn7Ag at its relaxed geometry.

V (Å³/cell): 191.76
E (eV/atom): -2.41
DOS at the Fermi energy (states/eV per atom): 0.481

abc: 4.182 4.182 10.966
angles: 90.00 90.00 90.00
Element x y z (fractional)
Sm1 0.500 0.000 0.741
Sm2 0.000 0.500 0.259
Zn1 0.000 0.500 0.855
Zn2 0.500 0.000 0.368
Zn3 0.500 0.000 0.145
Zn4 0.000 0.500 0.632
Zn5 0.000 0.000 0.500
Zn6 0.000 0.000 0.000
Zn7 0.500 0.500 0.500
Ag1 0.500 0.500 0.000


VASP calculation (GGA-PBE) on crystalline Li2AlZn2Au5 at its relaxed geometry.

V (Å³/cell): 354.23
E (eV/atom): -2.98
DOS at the Fermi energy (states/eV per atom): 0.278

abc: 3.177 10.559 10.559
angles: 90.00 90.00 90.00
Element x y z (fractional)
Li1 0.000 0.661 0.161
Li2 0.000 0.339 0.839
Li3 0.000 0.161 0.339
Li4 0.000 0.839 0.661
Al1 0.000 0.000 0.000
Al2 0.000 0.500 0.500
Zn1 0.000 0.142 0.642
Zn2 0.000 0.858 0.358
Zn3 0.000 0.642 0.858
Zn4 0.000 0.358 0.142
Au1 0.500 0.201 0.023
Au2 0.500 0.799 0.977
Au3 0.500 0.023 0.799
Au4 0.500 0.701 0.477
Au5 0.500 0.977 0.201
Au6 0.500 0.299 0.523
Au7 0.500 0.523 0.701
Au8 0.500 0.477 0.299
Au9 0.500 0.500 0.000
Au10 0.500 0.000 0.500


VASP calculation (GGA-PBE) on crystalline Be2AlRe at its relaxed geometry.

V (Å³/cell): 48.50
E (eV/atom): -5.91
DOS at the Fermi energy (states/eV per atom): 0.372

abc: 3.879 2.628 4.758
angles: 90.00 90.00 90.00
Element x y z (fractional)
Re1 0.500 0.250 0.250
Al1 0.500 0.750 0.750
Be1 0.000 0.750 0.034
Be2 0.000 0.750 0.466


VASP calculation (GGA-PBE) on crystalline NpVReRu at its relaxed geometry.

V (Å³/cell): 65.69
E (eV/atom): -10.83
DOS at the Fermi energy (states/eV per atom): 1.272

abc: 4.529 4.529 4.529
angles: 60.00 60.00 60.00
Element x y z (fractional)
Np1 0.500 0.500 0.500
Re1 0.750 0.750 0.750
V1 0.000 0.000 0.000
Ru1 0.250 0.250 0.250